Arrangement A

The following is a PBE calculation of an optimized crystal structure of InCuNiW, from OQMD.

Unit cell a=4.406 b=4.406 c=4.406 alpha=60.00 beta=60.00 gamma=60.00
Element x y z (fractional)
Ni (0.500, 0.500, 0.500)
Cu (0.750, 0.750, 0.750)
In (0.000, 0.000, 0.000)
W (0.250, 0.250, 0.250)

Properties
The space group is No. 216.



Arrangement B

The following is a PBE calculation of an optimized crystal structure of InCuNiW, from OQMD.

Unit cell a=4.364 b=4.364 c=4.364 alpha=60.00 beta=60.00 gamma=60.00
Element x y z (fractional)
Ni (0.250, 0.250, 0.250)
In (0.000, 0.000, 0.000)
Cu (0.750, 0.750, 0.750)
W (0.500, 0.500, 0.500)

Properties
The space group is No. 216.



Q: Which of them is the least stable? A: arrangement A.



Arrangement A

The following is a PBE calculation of an optimized crystal structure of ZrInCuNi, from OQMD.

Unit cell a=4.497 b=4.497 c=6.399 alpha=90.00 beta=90.00 gamma=90.00
Element x y z (fractional)
Zr (0.500, 0.000, 0.749)
Zr (0.000, 0.500, 0.251)
Ni (0.000, 0.000, 0.500)
Ni (0.500, 0.500, 0.000)
Cu (0.500, 0.500, 0.500)
Cu (0.000, 0.000, 0.000)
In (0.000, 0.500, 0.751)
In (0.500, 0.000, 0.249)

Properties
The space group is No. 115.



Arrangement B

The following is a PBE calculation of an optimized crystal structure of ZrInCuNi, from OQMD.

Unit cell a=4.525 b=4.525 c=4.525 alpha=60.00 beta=60.00 gamma=60.00
Element x y z (fractional)
Zr (0.000, 0.000, 0.000)
Cu (0.750, 0.750, 0.750)
In (0.250, 0.250, 0.250)
Ni (0.500, 0.500, 0.500)

Properties
The space group is No. 216.



Q: Which of them is the least stable? A: arrangement B.



Arrangement A

The following is a PBE calculation of an optimized crystal structure of ZrInCuNi, from OQMD.

Unit cell a=4.541 b=4.541 c=4.541 alpha=60.00 beta=60.00 gamma=60.00
Element x y z (fractional)
In (0.000, 0.000, 0.000)
Cu (0.750, 0.750, 0.750)
Ni (0.500, 0.500, 0.500)
Zr (0.250, 0.250, 0.250)

Properties
The space group is No. 216.



Arrangement B

The following is a PBE calculation of an optimized crystal structure of ZrInCuNi, from OQMD.

Unit cell a=4.505 b=4.505 c=4.505 alpha=60.00 beta=60.00 gamma=60.00
Element x y z (fractional)
Cu (0.750, 0.750, 0.750)
In (0.500, 0.500, 0.500)
Zr (0.000, 0.000, 0.000)
Ni (0.250, 0.250, 0.250)

Properties
The space group is No. 216.



Q: Which of them is the least stable? A: arrangement A.



Arrangement A

The following is a PBE calculation of an optimized crystal structure of ScInCuOs, from OQMD.

Unit cell a=4.567 b=4.567 c=4.567 alpha=60.00 beta=60.00 gamma=60.00
Element x y z (fractional)
Os (0.250, 0.250, 0.250)
Cu (0.750, 0.750, 0.750)
In (0.000, 0.000, 0.000)
Sc (0.500, 0.500, 0.500)

Properties
The space group is No. 216.



Arrangement B

The following is a PBE calculation of an optimized crystal structure of ScInCuOs, from OQMD.

Unit cell a=4.571 b=4.571 c=4.571 alpha=60.00 beta=60.00 gamma=60.00
Element x y z (fractional)
Cu (0.750, 0.750, 0.750)
In (0.000, 0.000, 0.000)
Sc (0.250, 0.250, 0.250)
Os (0.500, 0.500, 0.500)

Properties
The space group is No. 216.



Q: Which of them is the least stable? A: arrangement B.



Arrangement A

The following is a PBE calculation of an optimized crystal structure of TaInCuOs, from OQMD.

Unit cell a=4.520 b=4.520 c=4.520 alpha=60.00 beta=60.00 gamma=60.00
Element x y z (fractional)
Os (0.500, 0.500, 0.500)
Cu (0.750, 0.750, 0.750)
In (0.000, 0.000, 0.000)
Ta (0.250, 0.250, 0.250)

Properties
The space group is No. 216.



Arrangement B

The following is a PBE calculation of an optimized crystal structure of TaInCuOs, from OQMD.

Unit cell a=4.504 b=4.504 c=4.504 alpha=60.00 beta=60.00 gamma=60.00
Element x y z (fractional)
Os (0.250, 0.250, 0.250)
Ta (0.500, 0.500, 0.500)
Cu (0.750, 0.750, 0.750)
In (0.000, 0.000, 0.000)

Properties
The space group is No. 216.



Q: Which of them is the least stable? A: arrangement A.



Arrangement A

The following is a PBE calculation of an optimized crystal structure of InCuOsW, from OQMD.

Unit cell a=4.459 b=4.459 c=4.459 alpha=60.00 beta=60.00 gamma=60.00
Element x y z (fractional)
In (0.000, 0.000, 0.000)
Os (0.250, 0.250, 0.250)
Cu (0.750, 0.750, 0.750)
W (0.500, 0.500, 0.500)

Properties
The space group is No. 216.



Arrangement B

The following is a PBE calculation of an optimized crystal structure of InCuOsW, from OQMD.

Unit cell a=4.446 b=4.446 c=4.446 alpha=60.00 beta=60.00 gamma=60.00
Element x y z (fractional)
Cu (0.750, 0.750, 0.750)
Os (0.000, 0.000, 0.000)
In (0.250, 0.250, 0.250)
W (0.500, 0.500, 0.500)

Properties
The space group is No. 216.



Q: Which of them is the least stable? A: arrangement B.



Arrangement A

The following is a PBE calculation of an optimized crystal structure of ZrInCuOs, from OQMD.

Unit cell a=4.623 b=4.623 c=4.623 alpha=60.00 beta=60.00 gamma=60.00
Element x y z (fractional)
Cu (0.750, 0.750, 0.750)
Zr (0.250, 0.250, 0.250)
Os (0.500, 0.500, 0.500)
In (0.000, 0.000, 0.000)

Properties
The space group is No. 216.



Arrangement B

The following is a PBE calculation of an optimized crystal structure of ZrInCuOs, from OQMD.

Unit cell a=4.604 b=4.604 c=4.604 alpha=60.00 beta=60.00 gamma=60.00
Element x y z (fractional)
Zr (0.500, 0.500, 0.500)
In (0.000, 0.000, 0.000)
Cu (0.750, 0.750, 0.750)
Os (0.250, 0.250, 0.250)

Properties
The space group is No. 216.



Q: Which of them is the least stable? A: arrangement A.



Arrangement A

The following is a PBE calculation of an optimized crystal structure of TaInCuPd, from OQMD.

Unit cell a=4.558 b=4.558 c=4.558 alpha=60.00 beta=60.00 gamma=60.00
Element x y z (fractional)
Cu (0.750, 0.750, 0.750)
Pd (0.500, 0.500, 0.500)
Ta (0.250, 0.250, 0.250)
In (0.000, 0.000, 0.000)

Properties
The space group is No. 216.



Arrangement B

The following is a PBE calculation of an optimized crystal structure of TaInCuPd, from OQMD.

Unit cell a=4.538 b=4.538 c=4.538 alpha=60.00 beta=60.00 gamma=60.00
Element x y z (fractional)
In (0.000, 0.000, 0.000)
Pd (0.250, 0.250, 0.250)
Ta (0.500, 0.500, 0.500)
Cu (0.750, 0.750, 0.750)

Properties
The space group is No. 216.



Q: Which of them is the least stable? A: arrangement A.